5
Lattice="5.828 0.000 0.000 0.000 5.828 0.000 0.000 0.000 6.738" Properties=species:S:1:pos:R:3 comment="CsRbNa2P | Alexandria | PBE | optimized geometry" formation_enthalpy_0k_ev_per_atom=-0.072 pbc="T T T"
Cs 0.000 0.000 0.000
Rb 2.914 2.914 0.000
Na 0.000 2.914 3.369
Na 2.914 0.000 3.369
P 2.914 2.914 3.369

=====

# CsNa2PS4

Crystalline CsNa2PS4 at its relaxed geometry (PBE, Alexandria).

Cell and atoms, written as extended XYZ:
```
8
Lattice="-3.567 3.567 4.402 3.567 -3.567 4.402 3.567 3.567 -4.402" Properties=species:S:1:pos:R:3 pbc="T T T"
Cs 0.000 0.000 0.000
Na 3.567 0.000 2.201
Na 0.000 3.567 2.201
P 0.000 0.000 4.402
S 2.363 2.363 -1.168
S 1.203 -1.203 5.569
S 1.203 1.203 3.234
S -1.203 1.203 5.569
```

=====

# CsNaPS4

Crystalline CsNaPS4 at its relaxed geometry (PBE, Alexandria).

Cell and atoms, written as extended XYZ:
```
14
Lattice="6.910 0.000 0.000 0.000 6.297 0.000 -2.852 0.000 9.651" Properties=species:S:1:pos:R:3 pbc="T T T"
Cs 1.564 1.574 0.328
Cs 2.494 4.723 9.323
Na -0.256 1.574 5.513
Na 4.314 4.723 4.138
P 0.802 4.723 3.024
P 3.256 1.574 6.628
S -0.482 0.024 2.864
S -0.482 3.124 2.864
S 2.268 4.723 1.622
S 1.660 4.723 4.910
S 2.398 1.574 4.742
S 1.791 1.574 8.030
S 4.540 3.173 6.787
S 4.540 6.272 6.787
```

=====

Record-wise energy values, in eV per cell: -10.23, -32.81, -57.81